Record 1
VASP calculation (GGA-PBE) on a relaxed structure of Cd2HgRu.

E in eV/atom: -2.59

Geometry as POSCAR:
```
Cd2HgRu
1.0
3.031 0.000 0.000
0.000 3.031 0.000
0.000 0.000 8.749
Cd Hg Ru
2 1 1
direct
0.000 0.000 0.216
0.000 0.000 0.784
0.500 0.500 0.500
0.500 0.500 0.000
```

***

Record 2
VASP calculation (GGA-PBE) on a relaxed structure of Na2PaAs2Pt.

E in eV/atom: -5.23

Geometry as POSCAR:
```
Na2PaAs2Pt
1.0
4.288 0.000 0.000
0.000 8.519 0.000
0.000 0.000 7.131
Na Pa As Pt
4 2 4 2
direct
0.000 0.075 0.000
0.000 0.925 0.500
0.500 0.151 0.335
0.500 0.849 0.835
0.500 0.463 0.959
0.500 0.537 0.459
0.000 0.376 0.232
0.000 0.624 0.732
0.500 0.184 0.738
0.500 0.816 0.238
0.000 0.335 0.609
0.000 0.665 0.109
```

***

Record 3
VASP calculation (GGA-PBE) on a relaxed structure of HfHgGe.

Distance to the lowest polymorph of the same formula in eV per formula unit: 0.06

Geometry as POSCAR:
```
HfHgGe
1.0
3.761 0.000 0.000
0.000 3.859 0.000
0.000 0.000 8.975
Hf Hg Ge
2 2 2
direct
0.250 0.250 0.137
0.750 0.750 0.863
0.250 0.750 0.578
0.750 0.250 0.422
0.250 0.250 0.833
0.750 0.750 0.167
```

***

Record 4
VASP calculation (GGA-PBE) on a relaxed structure of HfCd2Ag.

Distance to the lowest polymorph of the same formula in eV per formula unit: 0.22

Geometry as POSCAR:
```
HfCd2Ag
1.0
1.541 0.890 10.038
-1.541 0.890 10.038
0.000 -1.780 10.038
Hf Cd Ag
1 2 1
direct
0.000 0.000 0.000
0.580 0.580 0.580
0.753 0.753 0.753
0.167 0.167 0.167
```

***

Record 5
VASP calculation (GGA-PBE) on a relaxed structure of Pr12Nd5Er2.

Distance to the lowest polymorph of the same formula in eV per formula unit: 0.61

Geometry as POSCAR:
```
Pr12Nd5Er2
1.0
9.708 -3.788 0.000
9.708 3.788 0.000
-4.392 0.000 9.277
Pr Nd Er
12 5 2
direct
0.008 0.008 0.325
0.091 0.591 0.149
0.092 0.575 0.498
0.409 0.909 0.851
0.425 0.908 0.502
0.491 0.491 0.783
0.509 0.509 0.217
0.575 0.092 0.498
0.591 0.091 0.149
0.908 0.425 0.502
0.909 0.409 0.851
0.992 0.992 0.675
0.177 0.177 0.198
0.325 0.325 0.830
0.500 0.500 0.500
0.675 0.675 0.170
0.823 0.823 0.802
0.202 0.798 0.000
0.798 0.202 0.000
```

***

Record 6
VASP calculation (GGA-PBE) on a relaxed structure of ZrTlPd2.

E in eV/atom: -5.43

Geometry as POSCAR:
```
ZrTlPd2
1.0
-3.760 3.760 2.945
3.760 -3.760 2.945
3.760 3.760 -2.945
Zr Tl Pd
2 2 4
direct
0.000 0.000 0.000
0.750 0.250 0.500
0.250 0.750 0.500
0.500 0.500 0.000
0.109 0.625 0.984
0.375 0.359 0.484
0.641 0.125 0.016
0.875 0.891 0.516
```

***

Record 7
VASP calculation (GGA-PBE) on a relaxed structure of Ac4SmPa3N8.

Energy relative to the elements, uncorrected in eV/atom: -1.4099

Geometry as POSCAR:
```
Ac4SmPa3N8
1.0
3.642 2.103 6.208
-3.642 2.103 6.208
0.000 -4.205 6.208
Ac Sm Pa N
4 1 3 8
direct
0.000 0.000 0.000
0.000 0.500 0.500
0.500 0.000 0.500
0.500 0.500 0.000
0.500 0.500 0.500
0.000 0.000 0.500
0.000 0.500 0.000
0.500 0.000 0.000
0.211 0.741 0.741
0.230 0.230 0.230
0.259 0.259 0.789
0.259 0.789 0.259
0.741 0.211 0.741
0.741 0.741 0.211
0.770 0.770 0.770
0.789 0.259 0.259
```

***

Record 8
VASP calculation (GGA-PBE) on a relaxed structure of KNb2AlSb.

Energy relative to the elements, uncorrected in eV/atom: 1.1788

Geometry as POSCAR:
```
KNb2AlSb
1.0
4.954 0.000 0.000
0.000 4.954 0.000
0.000 0.000 5.362
K Nb Al Sb
1 2 1 1
direct
0.000 0.000 0.000
0.000 0.500 0.500
0.500 0.000 0.500
0.000 0.000 0.500
0.500 0.500 0.000
```

***

Record 9
VASP calculation (GGA-PBE) on a relaxed structure of YAlAs2O8.

Energy relative to the elements, uncorrected in eV/atom: -1.9479

Geometry as POSCAR:
```
YAlAs2O8
1.0
-3.442 3.442 3.074
3.442 -3.442 3.074
3.442 3.442 -3.074
Y Al As O
1 1 2 8
direct
0.000 0.000 0.000
0.250 0.750 0.500
0.500 0.500 0.000
0.750 0.250 0.500
0.321 0.127 0.806
0.321 0.515 0.194
0.377 0.053 0.324
0.485 0.679 0.806
0.730 0.053 0.676
0.873 0.679 0.194
0.947 0.270 0.324
0.947 0.623 0.676
```

***

Record 10
VASP calculation (GGA-PBE) on a relaxed structure of La4ZnCd2.

E in eV/atom: -3.42

Geometry as POSCAR:
```
La4ZnCd2
1.0
2.726 1.574 8.761
-2.726 1.574 8.761
0.000 -3.148 8.761
La Zn Cd
4 1 2
direct
0.123 0.123 0.123
0.374 0.374 0.374
0.626 0.626 0.626
0.877 0.877 0.877
0.500 0.500 0.500
0.248 0.248 0.248
0.752 0.752 0.752
```

***

Record 11
VASP calculation (GGA-PBE) on a relaxed structure of La2BeCN.

Energy relative to the elements, uncorrected in eV/atom: -0.5753

Geometry as POSCAR:
```
La2BeCN
1.0
6.805 0.000 0.000
0.000 3.460 0.000
-1.888 0.000 7.167
La Be C N
4 2 2 2
direct
0.213 0.250 0.434
0.245 0.250 0.936
0.755 0.750 0.064
0.787 0.750 0.566
0.436 0.750 0.729
0.564 0.250 0.271
0.445 0.750 0.231
0.555 0.250 0.769
0.179 0.750 0.668
0.821 0.250 0.332
```

***

Record 12
VASP calculation (GGA-PBE) on a relaxed structure of LaErNiRh.

E in eV/atom: -6.19

Geometry as POSCAR:
```
LaErNiRh
1.0
0.000 3.483 3.483
3.483 0.000 3.483
3.483 3.483 0.000
La Er Ni Rh
1 1 1 1
direct
0.000 0.000 0.000
0.500 0.500 0.500
0.750 0.750 0.750
0.250 0.250 0.250
```

***

Record 13
VASP calculation (GGA-PBE) on a relaxed structure of Mn4ReMo.

E in eV/atom: -10.07

Geometry as POSCAR:
```
Mn4ReMo
1.0
0.000 3.320 3.320
3.320 0.000 3.320
3.320 3.320 0.000
Mn Re Mo
4 1 1
direct
0.125 0.125 0.125
0.125 0.125 0.625
0.125 0.625 0.125
0.625 0.125 0.125
0.750 0.750 0.750
0.500 0.500 0.500
```

***

Record 14
VASP calculation (GGA-PBE) on a relaxed structure of LiSc3Nb.

Distance to the lowest polymorph of the same formula in eV per formula unit: 0.00

Geometry as POSCAR:
```
LiSc3Nb
1.0
5.186 0.000 0.000
0.000 5.186 0.000
0.000 0.000 5.186
Li Sc Nb
1 3 1
direct
0.000 0.000 0.000
0.000 0.500 0.500
0.500 0.000 0.500
0.500 0.500 0.000
0.500 0.500 0.500
```

***

Record 15
VASP calculation (GGA-PBE) on a relaxed structure of TeRu2Se.

Energy relative to the elements, uncorrected in eV/atom: 0.4816
Distance to the lowest polymorph of the same formula in eV per formula unit: 1.66

Geometry as POSCAR:
```
TeRu2Se
1.0
4.280 0.000 0.000
0.000 3.968 0.000
-0.691 0.000 4.503
Te Ru Se
1 2 1
direct
0.000 0.000 0.000
0.276 0.500 0.693
0.724 0.500 0.307
0.500 0.000 0.500
```

***

Record 16
VASP calculation (GGA-PBE) on a relaxed structure of CsNi2Ge2.

E in eV/atom: -4.28

Geometry as POSCAR:
```
CsNi2Ge2
1.0
-2.142 2.142 6.789
2.142 -2.142 6.789
2.142 2.142 -6.789
Cs Ni Ge
1 2 2
direct
0.000 0.000 0.000
0.323 0.323 0.000
0.677 0.677 0.000
0.250 0.750 0.500
0.750 0.250 0.500
```

***

Record 17
VASP calculation (GGA-PBE) on a relaxed structure of ZrPa2Co.

Distance to the lowest polymorph of the same formula in eV per formula unit: 0.00

Geometry as POSCAR:
```
ZrPa2Co
1.0
1.680 -5.269 0.000
1.680 5.269 0.000
0.000 0.000 9.554
Zr Pa Co
2 4 2
direct
0.089 0.911 0.750
0.911 0.089 0.250
0.373 0.627 0.558
0.373 0.627 0.942
0.627 0.373 0.058
0.627 0.373 0.442
0.202 0.798 0.250
0.798 0.202 0.750
```

***

Record 18
VASP calculation (GGA-PBE) on a relaxed structure of Dy6Pb2C.

Distance to the lowest polymorph of the same formula in eV per formula unit: 0.00

Geometry as POSCAR:
```
Dy6Pb2C
1.0
-3.470 3.470 4.915
3.470 -3.470 4.915
3.470 3.470 -4.915
Dy Pb C
6 2 1
direct
0.245 0.245 0.000
0.245 0.245 0.490
0.245 0.755 0.000
0.755 0.245 0.000
0.755 0.755 0.000
0.755 0.755 0.510
0.250 0.750 0.500
0.750 0.250 0.500
0.000 0.000 0.000
```

***

Record 19
VASP calculation (GGA-PBE) on a relaxed structure of SiNi2Rh.

Energy relative to the elements, uncorrected in eV/atom: -0.3693

Geometry as POSCAR:
```
SiNi2Rh
1.0
4.168 0.000 0.000
0.000 2.762 0.000
-1.079 0.000 4.148
Si Ni Rh
1 2 1
direct
0.000 0.000 0.000
0.000 0.500 0.500
0.500 0.000 0.500
0.500 0.500 0.000
```

***

Record 20
VASP calculation (GGA-PBE) on a relaxed structure of Sc4SbCl.

Energy relative to the elements, uncorrected in eV/atom: -0.0191

Geometry as POSCAR:
```
Sc4SbCl
1.0
0.000 4.190 4.190
4.190 0.000 4.190
4.190 4.190 0.000
Sc Sb Cl
4 1 1
direct
0.377 0.377 0.377
0.377 0.377 0.870
0.377 0.870 0.377
0.870 0.377 0.377
0.750 0.750 0.750
0.000 0.000 0.000
```

***

Record 21
VASP calculation (GGA-PBE) on a relaxed structure of Ru2Pb.

Distance to the lowest polymorph of the same formula in eV per formula unit: 0.19

Geometry as POSCAR:
```
Ru2Pb
1.0
-1.492 1.492 5.946
1.492 -1.492 5.946
1.492 1.492 -5.946
Ru Pb
2 1
direct
0.187 0.187 0.000
0.813 0.813 0.000
0.500 0.500 0.000
```

***

Record 22
VASP calculation (GGA-PBE) on a relaxed structure of ZrPdBr6.

Energy relative to the elements, uncorrected in eV/atom: -0.8931
Distance to the lowest polymorph of the same formula in eV per formula unit: 0.33

Geometry as POSCAR:
```
ZrPdBr6
1.0
5.964 0.000 0.000
-0.380 7.071 0.000
-2.929 -3.275 6.736
Zr Pd Br
1 1 6
direct
0.000 0.000 0.000
0.500 0.500 0.000
0.147 0.638 0.847
0.205 0.154 0.813
0.375 0.175 0.333
0.625 0.825 0.667
0.795 0.846 0.187
0.853 0.362 0.153
```

***

Record 23
VASP calculation (GGA-PBE) on a relaxed structure of ZnAg2Mo.

E in eV/atom: -4.11

Geometry as POSCAR:
```
ZnAg2Mo
1.0
2.707 0.000 0.000
0.000 4.317 0.000
-1.350 0.000 5.647
Zn Ag Mo
1 2 1
direct
0.000 0.000 0.000
0.135 0.500 0.277
0.760 0.000 0.523
0.399 0.500 0.797
```

***

Record 24
VASP calculation (GGA-PBE) on a relaxed structure of AcLa2Sm3.

Distance to the lowest polymorph of the same formula in eV per formula unit: 0.00

Geometry as POSCAR:
```
AcLa2Sm3
1.0
6.438 0.000 0.000
1.112 6.384 0.000
1.096 3.084 10.708
Ac La Sm
2 4 6
direct
0.127 0.042 0.209
0.873 0.958 0.791
0.128 0.375 0.873
0.374 0.128 0.621
0.626 0.872 0.379
0.872 0.625 0.127
0.124 0.703 0.542
0.377 0.785 0.960
0.378 0.458 0.293
0.622 0.542 0.707
0.623 0.215 0.040
0.876 0.297 0.458
```

***

Record 25
VASP calculation (GGA-PBE) on a relaxed structure of Ta4Mn5.

Distance to the lowest polymorph of the same formula in eV per formula unit: 0.00

Geometry as POSCAR:
```
Ta4Mn5
1.0
-4.564 4.564 1.557
4.564 -4.564 1.557
4.564 4.564 -1.557
Ta Mn
4 5
direct
0.000 0.314 0.314
0.000 0.686 0.686
0.314 0.000 0.314
0.686 0.000 0.686
0.000 0.000 0.000
0.333 0.333 0.667
0.333 0.667 0.000
0.667 0.333 0.000
0.667 0.667 0.333
```